Entry 1:
First-principles (PBE) data for crystalline Tm5Th4Sc at its relaxed geometry, as listed in Alexandria.

abc: 3.505 11.371 9.041
angles: 62.63 101.18 90.00
Atoms (fractional coordinates):
Th (0.654, 0.134, 0.308)
Th (0.346, 0.866, 0.692)
Th (0.043, 0.724, 0.085)
Th (0.957, 0.276, 0.915)
Tm (0.832, 0.137, 0.665)
Tm (0.168, 0.863, 0.335)
Tm (0.201, 0.407, 0.403)
Tm (0.799, 0.593, 0.597)
Tm (0.500, 0.500, 0.000)
Sc (0.500, 0.000, 0.000)

Computed properties:
The density of states at the Fermi level comes out at 1.31 states/eV/atom. The formation energy is 1.65 eV/f.u. Its space group is C2/m, No. 12. For the energy above the most stable polymorph in this dataset, the calculation gives 0 meV per atom.

=====

Entry 2:
First-principles (PBE) data for crystalline PrDy5Tm3 at its relaxed geometry, as listed in Alexandria.

abc: 6.035 9.981 11.203
angles: 111.53 90.00 107.60
Atoms (fractional coordinates):
Dy (0.573, 0.664, 0.971)
Dy (0.088, 0.671, 0.803)
Dy (0.427, 0.336, 0.029)
Dy (0.912, 0.329, 0.197)
Dy (0.583, 0.671, 0.303)
Dy (0.909, 0.336, 0.529)
Dy (0.091, 0.664, 0.471)
Dy (0.593, 0.000, 0.250)
Dy (0.407, 0.000, 0.750)
Dy (0.417, 0.329, 0.697)
Tm (0.940, 0.353, 0.865)
Tm (0.000, 0.000, 0.500)
Tm (0.413, 0.353, 0.365)
Tm (0.587, 0.647, 0.635)
Tm (0.000, 0.000, 0.000)
Tm (0.060, 0.647, 0.135)
Pr (0.896, 0.000, 0.750)
Pr (0.104, 0.000, 0.250)

Computed properties:
The density of states at the Fermi level comes out at 1.56 states/eV/atom. The formation energy is 3.06 eV/f.u. Its space group is C2/c, No. 15. For the energy above the most stable polymorph in this dataset, the calculation gives 0 meV per atom.

=====

Entry 3:
First-principles (PBE) data for crystalline MgInHRu2 at its relaxed geometry, as listed in Alexandria.

abc: 4.080 4.080 4.023
angles: 90.00 90.00 90.00
Last column: magnetic moment on the atom in μB.
Atoms (fractional coordinates):
In (0.500, 0.500, 0.500)  -0.01
Ru (0.500, 0.000, 0.000)  0.36
Ru (0.000, 0.500, 0.000)  0.36
H (0.000, 0.000, 0.000)  0.00
Mg (0.000, 0.000, 0.500)  0.00

Computed properties:
The density of states at the Fermi level comes out at 1.09 states/eV/atom. The calculation puts the total DFT energy (no corrections) at -25.937 eV/cell. Its space group is P4/mmm, No. 123.

=====

Entry 4:
First-principles (PBE) data for crystalline Ba2Ca2P2O at its relaxed geometry, as listed in Alexandria.

abc: 4.668 4.668 9.039
angles: 104.96 104.96 90.00
Atoms (fractional coordinates):
P (0.624, 0.624, 0.248)
P (0.376, 0.376, 0.752)
Ba (0.171, 0.171, 0.341)
Ba (0.829, 0.829, 0.659)
O (0.000, 0.000, 0.000)
Ca (0.000, 0.500, 0.000)
Ca (0.500, 0.000, 0.000)

Computed properties:
Its energy relative to the elements, uncorrected is -1.649 eV per atom. Its space group is I4/mmm, No. 139.

=====

Entry 5:
First-principles (PBE) data for crystalline MgPa2Au6 at its relaxed geometry, as listed in Alexandria.

abc: 3.089 8.314 8.314
angles: 60.00 89.94 89.94
Last column: magnetic moment on the atom in μB.
Atoms (fractional coordinates):
Mg (0.000, 0.000, 0.000)  0.00
Au (0.501, 0.000, 0.330)  0.00
Au (0.499, 0.670, 0.000)  0.00
Au (0.499, 0.000, 0.670)  0.00
Au (0.500, 0.330, 0.670)  0.00
Au (0.500, 0.670, 0.330)  0.00
Au (0.501, 0.330, 0.000)  0.00
Pa (0.000, 0.667, 0.667)  0.53
Pa (0.000, 0.333, 0.333)  0.53

Computed properties:
The density of states at the Fermi level comes out at 1.04 states/eV/atom. The formation energy is -3.56 eV/f.u. Its space group is C2/m, No. 12.

=====

Entry 6:
First-principles (PBE) data for crystalline ZnMoIr at its relaxed geometry, as listed in Alexandria.

abc: 2.803 2.803 11.336
angles: 90.02 90.00 90.00
Atoms (fractional coordinates):
Zn (0.560, 0.527, 0.808)
Zn (0.060, 0.028, 0.642)
Ir (0.060, 0.027, 0.306)
Ir (0.060, 0.026, 0.969)
Mo (0.560, 0.528, 0.471)
Mo (0.560, 0.527, 0.129)

Computed properties:
The density of states at the Fermi level comes out at 0.49 states/eV/atom. The formation energy is -0.57 eV/f.u. Its space group is P4mm, No. 99. For the energy above the most stable polymorph in this dataset, the calculation gives 0 meV per atom.

=====

Entry 7:
First-principles (PBE) data for crystalline ThU3Se4 at its relaxed geometry, as listed in Alexandria.

abc: 4.035 7.139 7.139
angles: 71.47 90.04 90.04
Last column: magnetic moment on the atom in μB.
Atoms (fractional coordinates):
Se (0.000, 0.242, 0.258)  0.04
Se (0.000, 0.758, 0.742)  0.04
Se (0.500, 0.246, 0.745)  0.05
Se (0.500, 0.755, 0.254)  0.05
U (0.000, 0.000, 0.000)  -2.44
U (0.000, 0.500, 0.500)  -2.44
U (0.500, 0.000, 0.500)  -2.45
Th (0.500, 0.500, 0.000)  -0.02

Computed properties:
The density of states at the Fermi level comes out at 2.37 states/eV/atom. Its energy relative to the elements, uncorrected is -1.124 eV per atom. Its space group is Cmmm, No. 65.

=====

Entry 8:
First-principles (PBE) data for crystalline Cr2HgPb at its relaxed geometry, as listed in Alexandria.

abc: 5.755 5.755 4.800
angles: 67.14 67.14 33.60
Last column: magnetic moment on the atom in μB.
Atoms (fractional coordinates):
Cr (0.719, 0.719, 0.775)  -3.20
Cr (0.033, 0.033, 0.971)  3.26
Hg (0.485, 0.485, 0.521)  -0.01
Pb (0.264, 0.264, 0.232)  0.03

Computed properties:
The density of states at the Fermi level comes out at 0.62 states/eV/atom. The formation energy is 2.08 eV/f.u. Its space group is Cm, No. 8. For the energy above the most stable polymorph in this dataset, the calculation gives 145 meV per atom.

=====

Computed V (Å³ per atom) in order:
31.23; 32.98; 13.39; 26.19; 20.54; 14.85; 24.37; 20.10